Entry from Alexandria: Ac3TeO after structural relaxation (PBE).

a b c (Å): 5.2829 5.2829 5.2829
angles (deg): 90.00 90.00 90.00
With the nearest neighbours (Å) after each atom.
Atoms (fractional coordinates):
Ac: 0.0000 0.5000 0.0000  2 O 2.64
Ac: 0.0000 0.0000 0.5000  2 O 2.64
Ac: 0.5000 0.0000 0.0000  2 O 2.64
O: 0.0000 0.0000 0.0000  6 Ac 2.64
Te: 0.5000 0.5000 0.5000  12 Ac 3.74

Values from the calculation:
- Crystal system: cubic
- Space-group type: Pm-3m
- Size of the total moment: 0.00 μB/cell
- Formation energy from raw total energies: -1.323 eV per atom
- Total energy: -27.04 eV/cell

---

Entry from Alexandria: Pu3PaPt4 after structural relaxation (PBE).

a b c (Å): 4.6496 8.3794 10.2185
angles (deg): 90.00 90.00 123.68
With the nearest neighbours (Å) after each atom.
Atoms (fractional coordinates):
Pt: 0.5270 0.2770 0.4100  7 Pu 2.92-3.18, 3 Pt 2.96-3.11, 1 Pa 3.06
Pt: 0.4730 0.7230 0.5900  7 Pu 2.92-3.18, 3 Pt 2.96-3.11, 1 Pa 3.06
Pt: 0.0270 0.2770 0.5900  7 Pu 2.92-3.18, 3 Pt 2.96-3.11, 1 Pa 3.06
Pt: 0.4664 0.2164 0.9121  3 Pa 2.92-3.10, 3 Pt 2.94-3.02, 5 Pu 3.04-3.17
Pt: 0.0336 0.7836 0.9121  3 Pa 2.92-3.10, 3 Pt 2.94-3.02, 5 Pu 3.04-3.17
Pt: 0.5336 0.7836 0.0879  3 Pa 2.92-3.10, 3 Pt 2.94-3.02, 5 Pu 3.04-3.17
Pt: 0.9730 0.7230 0.4100  7 Pu 2.92-3.18, 3 Pt 2.96-3.11, 1 Pa 3.06
Pt: 0.9664 0.2164 0.0879  3 Pa 2.92-3.10, 3 Pt 2.94-3.02, 5 Pu 3.04-3.17
Pa: 0.2500 0.0000 0.1776  8 Pt 2.92-3.10, 2 Pu 2.99
Pa: 0.7500 0.0000 0.8224  8 Pt 2.92-3.10, 2 Pu 2.99
Pu: 0.7500 0.0000 0.3611  2 Pa 2.99, 8 Pt 3.03-3.17
Pu: 0.7500 0.5000 0.6728  8 Pt 2.92-3.14, 2 Pu 3.02
Pu: 0.2500 0.5000 0.8614  2 Pu 3.02, 8 Pt 3.04-3.18
Pu: 0.7500 0.5000 0.1386  2 Pu 3.02, 8 Pt 3.04-3.18
Pu: 0.2500 0.0000 0.6389  2 Pa 2.99, 8 Pt 3.03-3.17
Pu: 0.2500 0.5000 0.3272  8 Pt 2.92-3.14, 2 Pu 3.02

Values from the calculation:
- Crystal system: orthorhombic
- DFT formation energy: -604 kJ/mol of formula units
- Space-group type: Pmma
- Size of the total moment: 11.77 μB/cell
- Total energy: -165.83 eV/cell

---

Entry from Alexandria: ScCdTc after structural relaxation (PBE).

a b c (Å): 4.5360 4.5360 4.5360
angles (deg): 60.00 60.00 60.00
With the nearest neighbours (Å) after each atom.
Atoms (fractional coordinates):
Tc: 0.0000 0.0000 0.0000  4 Sc 2.78
Cd: 0.5000 0.5000 0.5000  4 Sc 2.78
Sc: 0.2500 0.2500 0.2500  4 Cd 2.78, 4 Tc 2.78

Values from the calculation:
- E above lowest polymorph: 816 meV/atom
- Crystal system: cubic
- DFT formation energy: 254 kJ/mol of formula units
- Space-group type: F-43m
- Size of the total moment: 0.94 μB/cell
- Total energy: -14.98 eV/cell

---

Entry from Alexandria: Ca2CrReS after structural relaxation (PBE).

a b c (Å): 5.5157 4.2513 5.5157
angles (deg): 90.00 90.00 90.00
With the nearest neighbours (Å) after each atom.
Atoms (fractional coordinates):
Ca: 0.5000 0.0000 0.0000  2 Cr 2.76
Ca: 0.0000 0.0000 0.5000  2 Cr 2.76
S: 0.5000 0.5000 0.5000  8 Ca 3.48
Cr: 0.0000 0.0000 0.0000  2 Re 2.13
Re: 0.0000 0.5000 0.0000  2 Cr 2.13

Values from the calculation:
- Crystal system: tetragonal
- Space-group type: P4/mmm
- Size of the total moment: 0.00 μB/cell
- Formation energy from raw total energies: 0.738 eV per atom
- Total energy: -26.51 eV/cell

---

Entry from Alexandria: La4GaSbN after structural relaxation (PBE).

a b c (Å): 6.9938 7.0313 8.9597
angles (deg): 90.00 112.97 90.00
With the nearest neighbours (Å) after each atom.
Atoms (fractional coordinates):
La: 0.4200 0.7500 0.8400  1 N 2.53
La: 0.5000 0.0000 0.5000  2 N 2.49
La: 0.5800 0.2500 0.1600  1 N 2.53
La: 0.9133 0.2500 0.8265  1 N 2.96, 1 Sb 3.21
La: 0.0000 0.5000 0.5000  2 N 2.49
La: 0.5000 0.5000 0.5000  2 N 2.49
La: 0.0867 0.7500 0.1735  1 N 2.96, 1 Sb 3.21
La: 0.0000 0.0000 0.5000  2 N 2.49
N: 0.2664 0.7500 0.5329  5 La 2.49-2.53
N: 0.7336 0.2500 0.4671  5 La 2.49-2.53
Ga: 0.3837 0.2500 0.7674  9 La 3.24-3.57
Ga: 0.6163 0.7500 0.2326  9 La 3.24-3.57
Sb: 0.8919 0.7500 0.7838  9 La 3.21-3.53
Sb: 0.1081 0.2500 0.2162  9 La 3.21-3.53

Values from the calculation:
- Crystal system: orthorhombic
- Space-group type: Cmcm
- Size of the total moment: 0.00 μB/cell
- Formation energy from raw total energies: -0.911 eV per atom
- Total energy: -83.13 eV/cell

---

Entry from Alexandria: LaLuPdRu after structural relaxation (PBE).

a b c (Å): 4.9547 4.9547 4.9547
angles (deg): 60.00 60.00 60.00
With the nearest neighbours (Å) after each atom.
Atoms (fractional coordinates):
La: 0.0000 0.0000 0.0000  4 Ru 3.03, 4 Pd 3.03
Ru: 0.7500 0.7500 0.7500  4 La 3.03, 4 Lu 3.03
Lu: 0.5000 0.5000 0.5000  4 Pd 3.03, 4 Ru 3.03
Pd: 0.2500 0.2500 0.2500  4 La 3.03, 4 Lu 3.03

Values from the calculation:
- Crystal system: cubic
- DFT formation energy: -211 kJ/mol of formula units
- Space-group type: F-43m
- Size of the total moment: 0.00 μB/cell
- Total energy: -26.11 eV/cell